Record 1
GGA-PBE InSn2Pd4, relaxed; energy above the most stable polymorph in this dataset = 0.000 eV/atom; VASP energy = -4.958 eV/atom; space-group type = P1; formation energy from the elements = -3.189 eV/f.u.
1.0
-2.361 -5.455 1.109
5.754 -1.440 -3.957
1.723 2.455 6.477
In Sn Pd
2 4 8
Direct
0.306 0.734 0.534
0.002 0.926 0.971
0.532 0.406 0.686
0.788 0.928 0.385
0.590 0.242 0.152
0.065 0.456 0.780
0.067 0.286 0.351
0.378 0.530 0.161
0.825 0.625 0.533
0.726 0.112 0.787
0.350 0.002 0.336
0.211 0.103 0.741
0.514 0.806 0.962
0.896 0.592 0.121



Record 2
GGA-PBE In2SnPd9, relaxed; VASP energy = -5.142 eV/atom; space-group type = P4/mmm; formation energy from the elements = -5.491 eV/f.u.
1.0
4.041 0.000 0.000
0.000 4.041 0.000
0.000 0.000 12.094
In Sn Pd
2 1 9
Direct
0.000 0.000 0.334
0.000 0.000 0.666
0.000 0.000 0.000
0.500 0.500 0.000
0.500 0.500 0.332
0.500 0.500 0.668
0.500 0.000 0.165
0.500 0.000 0.500
0.500 0.000 0.835
0.000 0.500 0.165
0.000 0.500 0.500
0.000 0.500 0.835



Record 3
GGA-PBE In2Sn2Pd5, relaxed; VASP energy = -4.778 eV/atom; space-group type = Ima2; formation energy from the elements = -3.556 eV/f.u.
1.0
-3.810 0.708 -4.645
5.582 -3.250 -5.074
-3.528 -5.129 6.052
In Sn Pd
4 4 10
Direct
0.093 0.695 0.264
0.907 0.430 0.736
0.671 0.195 0.264
0.329 0.930 0.736
0.000 0.130 0.000
0.500 0.630 0.000
0.298 0.269 0.500
0.702 0.769 0.500
0.126 0.785 0.887
0.874 0.898 0.113
0.261 0.285 0.887
0.739 0.398 0.113
0.431 0.933 0.291
0.569 0.641 0.709
0.361 0.433 0.291
0.639 0.141 0.709
0.049 0.555 0.500
0.951 0.055 0.500



Record 4
GGA-PBE In5Sn2Pd12, relaxed; VASP energy = -4.868 eV/atom; space-group type = C2/m; formation energy from the elements = -8.480 eV/f.u.
1.0
-6.711 -0.240 -5.310
2.386 -6.233 4.167
-3.532 2.115 4.369
In Sn Pd
5 2 12
Direct
0.248 0.495 0.537
0.325 0.650 0.076
0.000 0.000 0.500
0.675 0.350 0.924
0.752 0.505 0.463
0.766 0.000 0.000
0.234 0.000 0.000
0.124 0.248 0.890
0.043 0.610 0.795
0.568 0.610 0.795
0.175 0.799 0.394
0.625 0.799 0.394
0.458 0.915 0.742
0.542 0.085 0.258
0.825 0.201 0.606
0.375 0.201 0.606
0.957 0.390 0.205
0.432 0.390 0.205
0.876 0.752 0.110



no.,magnetization (μB per cell)
1,0.0
2,0.0
3,0.0
4,0.0